Record 1
This record from Alexandria describes a geometry-optimized AcTlH6Ir structure. The functional is PBE.

abc: 4.6597 4.7393 5.9719
angles: 95.20 92.98 91.65
With the nearest neighbours (Å) after each atom.
Space group P-1 (No. 2)
Unique sites:
Ac 0.0000 0.0000 0.0000 (multiplicity 1)  10 H 2.57-2.82
Tl 0.0000 0.5000 0.5000 (multiplicity 1)  4 H 2.50-2.70
H 0.1825 0.5261 0.1165 (multiplicity 2)  1 Ir 1.67
H 0.3770 0.2668 0.7829 (multiplicity 2)  1 Ir 1.69
H 0.4564 0.7683 0.8351 (multiplicity 2)  1 Ir 1.69
Ir 0.5000 0.5000 0.0000 (multiplicity 1)  6 H 1.67-1.69

Calculated values
E, eV/atom: -4.243

=====

Record 2
This record from Alexandria describes a geometry-optimized SmSnIrRh structure. The functional is PBE.

abc: 6.7489 6.7489 6.7489
angles: 90.00 90.00 90.00
With the nearest neighbours (Å) after each atom.
Space group F-43m (No. 216)
Unique sites:
Sm 0.0000 0.0000 0.0000 (multiplicity 4)  4 Rh 2.92, 4 Ir 2.92
Sn 0.0000 0.0000 0.5000 (multiplicity 4)  4 Ir 2.92, 4 Rh 2.92
Ir 0.2500 0.2500 0.7500 (multiplicity 4)  4 Sn 2.92, 4 Sm 2.92
Rh 0.2500 0.2500 0.2500 (multiplicity 4)  4 Sn 2.92, 4 Sm 2.92

Calculated values
E, eV/atom: -6.791
Formation energy, eV per atom: -0.56

=====

Look up the E of the second one.
-6.791 eV/atom

=====

Copy entry 2 word for word.
This record from Alexandria describes a geometry-optimized SmSnIrRh structure. The functional is PBE.

abc: 6.7489 6.7489 6.7489
angles: 90.00 90.00 90.00
With the nearest neighbours (Å) after each atom.
Space group F-43m (No. 216)
Unique sites:
Sm 0.0000 0.0000 0.0000 (multiplicity 4)  4 Rh 2.92, 4 Ir 2.92
Sn 0.0000 0.0000 0.5000 (multiplicity 4)  4 Ir 2.92, 4 Rh 2.92
Ir 0.2500 0.2500 0.7500 (multiplicity 4)  4 Sn 2.92, 4 Sm 2.92
Rh 0.2500 0.2500 0.2500 (multiplicity 4)  4 Sn 2.92, 4 Sm 2.92

Calculated values
E, eV/atom: -6.791
Formation energy, eV per atom: -0.56

=====

The highest E belongs to which entry?
AcTlH6Ir